Entry 1:
Density functional theory data (PBE-GGA) for a relaxed ScTePbO5 crystal.

a b c (Å): 6.0951 6.0951 8.1587
angles (deg): 108.07 108.07 101.89
Closest atoms and distances in Å follow each position.
Element x y z (fractional)
O (0.8929, 0.3247, 0.0862)  1 Te 2.02, 1 Sc 2.19
O (0.3815, 0.2167, 0.0912)  1 Te 1.88
O (0.0494, 0.9506, 0.2500)  2 Sc 2.09, 1 Pb 2.30
O (0.2167, 0.3815, 0.5912)  1 Te 1.88
O (0.9506, 0.0494, 0.7500)  2 Sc 2.09, 1 Pb 2.30
O (0.1071, 0.6753, 0.9138)  1 Te 2.02, 1 Sc 2.19
O (0.7833, 0.6185, 0.4088)  1 Te 1.88
O (0.6185, 0.7833, 0.9088)  1 Te 1.88
O (0.3247, 0.8929, 0.5862)  1 Te 2.02, 1 Sc 2.19
O (0.6753, 0.1071, 0.4138)  1 Te 2.02, 1 Sc 2.19
Pb (0.2929, 0.7071, 0.2500)  3 O 2.30-2.55
Pb (0.7071, 0.2929, 0.7500)  3 O 2.30-2.55
Te (0.2906, 0.7094, 0.7500)  4 O 1.88-2.02
Te (0.7094, 0.2906, 0.2500)  4 O 1.88-2.02
Sc (0.0000, 0.0000, 0.0000)  6 O 2.09-2.19
Sc (0.0000, 0.0000, 0.5000)  6 O 2.09-2.19

uncorrected formation energy	-1.705	eV per atom
D(E_F)	4.92	states/eV/cell

Entry 2:
Density functional theory data (PBE-GGA) for a relaxed Ce2B2Ir5Pd crystal.

a b c (Å): 3.4241 9.4337 9.4337
angles (deg): 90.00 90.00 90.00
Closest atoms and distances in Å follow each position.
Element x y z (fractional)
B (0.0000, 0.1199, 0.6199)  6 Ir 2.32-2.34
B (0.0000, 0.8801, 0.3801)  6 Ir 2.32-2.34
B (0.0000, 0.3801, 0.1199)  6 Ir 2.32-2.34
B (0.0000, 0.6199, 0.8801)  6 Ir 2.32-2.34
Pd (0.0000, 0.0000, 0.0000)  8 Ir 2.79
Pd (0.0000, 0.5000, 0.5000)  8 Ir 2.79
Ce (0.0000, 0.1796, 0.3204)  3 B 2.68-2.88, 6 Ir 2.94
Ce (0.0000, 0.6796, 0.1796)  3 B 2.68-2.88, 6 Ir 2.94
Ce (0.0000, 0.8204, 0.6796)  3 B 2.68-2.88, 6 Ir 2.94
Ce (0.0000, 0.3204, 0.8204)  3 B 2.68-2.88, 6 Ir 2.94
Ir (0.5000, 0.9292, 0.2223)  2 B 2.32
Ir (0.5000, 0.5708, 0.7223)  2 B 2.32
Ir (0.5000, 0.0708, 0.7777)  2 B 2.32
Ir (0.5000, 0.7777, 0.9292)  2 B 2.32
Ir (0.5000, 0.5000, 0.0000)  4 B 2.34
Ir (0.5000, 0.0000, 0.5000)  4 B 2.34
Ir (0.5000, 0.2777, 0.5708)  2 B 2.32
Ir (0.5000, 0.7223, 0.4292)  2 B 2.32
Ir (0.5000, 0.2223, 0.0708)  2 B 2.32
Ir (0.5000, 0.4292, 0.2777)  2 B 2.32

D(E_F)	20.50	states/eV/cell
electronic total energy	-8.001	eV/atom

Repeat the first record exactly.
Density functional theory data (PBE-GGA) for a relaxed ScTePbO5 crystal.

a b c (Å): 6.0951 6.0951 8.1587
angles (deg): 108.07 108.07 101.89
Closest atoms and distances in Å follow each position.
Element x y z (fractional)
O (0.8929, 0.3247, 0.0862)  1 Te 2.02, 1 Sc 2.19
O (0.3815, 0.2167, 0.0912)  1 Te 1.88
O (0.0494, 0.9506, 0.2500)  2 Sc 2.09, 1 Pb 2.30
O (0.2167, 0.3815, 0.5912)  1 Te 1.88
O (0.9506, 0.0494, 0.7500)  2 Sc 2.09, 1 Pb 2.30
O (0.1071, 0.6753, 0.9138)  1 Te 2.02, 1 Sc 2.19
O (0.7833, 0.6185, 0.4088)  1 Te 1.88
O (0.6185, 0.7833, 0.9088)  1 Te 1.88
O (0.3247, 0.8929, 0.5862)  1 Te 2.02, 1 Sc 2.19
O (0.6753, 0.1071, 0.4138)  1 Te 2.02, 1 Sc 2.19
Pb (0.2929, 0.7071, 0.2500)  3 O 2.30-2.55
Pb (0.7071, 0.2929, 0.7500)  3 O 2.30-2.55
Te (0.2906, 0.7094, 0.7500)  4 O 1.88-2.02
Te (0.7094, 0.2906, 0.2500)  4 O 1.88-2.02
Sc (0.0000, 0.0000, 0.0000)  6 O 2.09-2.19
Sc (0.0000, 0.0000, 0.5000)  6 O 2.09-2.19

uncorrected formation energy	-1.705	eV per atom
D(E_F)	4.92	states/eV/cell

D(E_F) of number 2 (Ce2B2Ir5Pd)?
20.50 states/eV/cell

The lowest D(E_F) belongs to which entry?
ScTePbO5